Entry 1:
Density functional theory data (PBEsol) for crystalline PaCdAu2 at its relaxed geometry.

Its total energy is -5.180 eV per atom. The calculation puts the formation energy at -0.361 eV/atom.

The structure belongs to space group Fm-3m (No. 225); the cell edges are 6.8933, 6.8933 and 6.8933 Å and the angles 90.00°, 90.00° and 90.00°. The distinct sites, in fractional coordinates, are Pa at (0.0000, 0.0000, 0.0000), Cd at (0.0000, 0.0000, 0.5000) and Au at (0.2500, 0.2500, 0.2500).

---

Entry 2:
Density functional theory data (PBEsol) for crystalline Cd3PbAu at its relaxed geometry.

Its total energy is -2.113 eV per atom. The calculation puts the formation energy at 0.190 eV/atom.

The structure belongs to space group Pm-3m (No. 221); the cell edges are 5.1541, 5.1541 and 5.1541 Å and the angles 90.00°, 90.00° and 90.00°. The distinct sites, in fractional coordinates, are Cd at (0.0000, 0.0000, 0.5000), Pb at (0.5000, 0.5000, 0.5000) and Au at (0.0000, 0.0000, 0.0000).

---

Entry 3:
Density functional theory data (PBEsol) for crystalline CdPbAu at its relaxed geometry.

Its total energy is -3.064 eV per atom. The calculation puts the formation energy at -0.024 eV/atom.

The structure belongs to space group I4mm (No. 107); the cell edges are 3.3161, 3.3161 and 12.2411 Å and the angles 90.00°, 90.00° and 90.00°. The distinct sites, in fractional coordinates, are Cd at (0.0000, 0.0000, 0.0000), Pb at (0.0000, 0.0000, 0.3000) and Au at (0.0000, 0.0000, 0.6333).

---

Entry 4:
Density functional theory data (PBEsol) for crystalline CdRe2PdAu at its relaxed geometry.

Its total energy is -5.219 eV per atom. The calculation puts the formation energy at 2.330 eV/atom.

The structure belongs to space group P4/mmm (No. 123); the cell edges are 4.8052, 4.8052 and 4.8701 Å and the angles 90.00°, 90.00° and 90.00°. The distinct sites, in fractional coordinates, are Cd at (0.0000, 0.0000, 0.0000), Re at (0.0000, 0.5000, 0.5000), Pd at (0.5000, 0.5000, 0.0000) and Au at (0.5000, 0.5000, 0.5000).

---

Entry 5:
Density functional theory data (PBEsol) for crystalline PrCdAu at its relaxed geometry.

Its total energy is -4.084 eV per atom. The calculation puts the formation energy at -0.649 eV/atom.

The structure belongs to space group P-62m (No. 189); the cell edges are 7.7923, 7.7923 and 4.0307 Å and the angles 90.00°, 90.00° and 120.00°. The distinct sites, in fractional coordinates, are Pr at (0.0000, 0.4047, 0.0000), Cd at (0.0000, 0.7448, 0.5000), Au at (0.0000, 0.0000, 0.0000) and Au at (0.3333, 0.6667, 0.5000).

---

Entry 6:
Density functional theory data (PBEsol) for crystalline CdPt2Au at its relaxed geometry.

Its total energy is -4.906 eV per atom. The calculation puts the formation energy at -0.144 eV/atom.

The structure belongs to space group Cmmm (No. 65); the cell edges are 5.7820, 7.6657 and 2.9285 Å and the angles 90.00°, 90.00° and 90.00°. The distinct sites, in fractional coordinates, are Cd at (0.0000, 0.0000, 0.0000), Pt at (0.2500, 0.2500, 0.5000) and Au at (0.0000, 0.5000, 0.0000).

---

Entry 7:
Density functional theory data (PBEsol) for crystalline CdPtAu at its relaxed geometry.

Its total energy is -4.180 eV per atom. The calculation puts the formation energy at -0.152 eV/atom.

The structure belongs to space group I4mm (No. 107); the cell edges are 2.9243, 2.9243 and 11.7888 Å and the angles 90.00°, 90.00° and 90.00°. The distinct sites, in fractional coordinates, are Cd at (0.0000, 0.0000, 0.0000), Pt at (0.0000, 0.0000, 0.6621) and Au at (0.0000, 0.0000, 0.3262).

---

Entry 8:
Density functional theory data (PBEsol) for crystalline CdPt2Au at its relaxed geometry.

Its total energy is -4.882 eV per atom. The calculation puts the formation energy at -0.120 eV/atom.

The structure belongs to space group Cm (No. 8); the cell edges are 9.4182, 2.8513 and 4.9278 Å and the angles 90.00°, 100.36° and 90.00°. The distinct sites, in fractional coordinates, are Cd at (0.0000, 0.0000, 0.0000), Pt at (0.2508, 0.5000, 0.2480), Pt at (0.4933, 0.0000, 0.4936) and Au at (0.2437, 0.0000, 0.7386).

---

Entry 9:
Density functional theory data (PBEsol) for crystalline CdPt2Au at its relaxed geometry.

Its total energy is -4.861 eV per atom. The calculation puts the formation energy at -0.099 eV/atom.

The structure belongs to space group C2/m (No. 12); the cell edges are 5.5519, 9.6377 and 2.8030 Å and the angles 90.00°, 119.28° and 90.00°. The distinct sites, in fractional coordinates, are Cd at (0.0000, 0.0000, 0.0000), Pt at (0.2500, 0.2500, 0.5000) and Au at (0.0000, 0.5000, 0.0000).

---

Entry 10:
Density functional theory data (PBEsol) for crystalline CdPt2Au at its relaxed geometry.

Its total energy is -4.873 eV per atom. The calculation puts the formation energy at -0.111 eV/atom.

The structure belongs to space group I-4m2 (No. 119); the cell edges are 4.0830, 4.0830 and 7.8246 Å and the angles 90.00°, 90.00° and 90.00°. The distinct sites, in fractional coordinates, are Cd at (0.0000, 0.0000, 0.0000), Pt at (0.0000, 0.0000, 0.5000), Pt at (0.0000, 0.5000, 0.2500) and Au at (0.0000, 0.5000, 0.7500).

---

Entry 11:
Density functional theory data (PBEsol) for crystalline CdPt2Au at its relaxed geometry.

Its total energy is -4.856 eV per atom. The calculation puts the formation energy at -0.094 eV/atom.

The structure belongs to space group P2/m (No. 10); the cell edges are 2.8063, 4.7957 and 4.8650 Å and the angles 90.00°, 91.33° and 90.00°. The distinct sites, in fractional coordinates, are Cd at (0.0000, 0.0000, 0.0000), Pt at (0.2553, 0.5000, 0.7484) and Au at (0.5000, 0.0000, 0.5000).

---

Entry 12:
Density functional theory data (PBEsol) for crystalline CdPtAu at its relaxed geometry.

Its total energy is -4.187 eV per atom. The calculation puts the formation energy at -0.159 eV/atom.

The structure belongs to space group Imm2 (No. 44); the cell edges are 2.9180, 3.9874 and 8.6707 Å and the angles 90.00°, 90.00° and 90.00°. The distinct sites, in fractional coordinates, are Cd at (0.0000, 0.0000, 0.0000), Pt at (0.0000, 0.0000, 0.6637) and Au at (0.0000, 0.0000, 0.3293).

---

no.,size of the total moment (Bohr magnetons per cell)
1,0.00
2,0.00
3,0.00
4,4.08
5,0.00
6,0.00
7,0.00
8,0.00
9,0.00
10,0.00
11,0.00
12,0.00